Material: Hf2HO
Method: DFT, PBE
State: optimized geometry

Geometry as POSCAR:
```
Hf2HO
1.0
4.839 0.000 0.000
0.000 4.839 0.000
0.000 0.000 9.571
Hf H O
8 4 4
Cartesian
1.199 1.210 1.196 Hf
1.210 3.619 3.589 Hf
1.210 3.640 8.375 Hf
1.220 1.210 5.982 Hf
3.619 3.629 5.982 Hf
3.629 1.199 8.375 Hf
3.629 1.220 3.589 Hf
3.640 3.629 1.196 Hf
0.000 0.000 0.000 H
0.000 2.420 2.393 H
2.420 0.000 7.178 H
2.420 2.420 4.786 H
0.000 0.000 4.786 O
0.000 2.420 7.178 O
2.420 0.000 2.393 O
2.420 2.420 0.000 O
```

Values from the calculation:
offset from the most stable computed form: 0.0000 eV per atom
space group: I-42d, No. 122
total magnetic moment: 0.000 μB/f.u.
density of states at the Fermi level: 2.76 states/eV/f.u.
energy: -8.3596 eV per atom